# VTcNiIr

A relaxed structure of VTcNiIr (PBE-GGA, Alexandria).

Unit cell a=4.223 b=4.223 c=4.223 alpha=60.00 beta=60.00 gamma=60.00
Fractional positions:
Ni 0.250 0.250 0.250
Ir 0.500 0.500 0.500
Tc 0.000 0.000 0.000
V 0.750 0.750 0.750

Computed properties:
DFT total energy   -34.74 eV for the cell shown
Formation enthalpy at 0 K   -0.154 eV per atom